1.
A plane-wave DFT calculation with GGA-PBE was carried out for crystalline LiZnIn2 at its relaxed geometry.

Geometry as POSCAR:
```
LiZnIn2
1.0
4.4075 0.0000 0.0000
0.0000 4.4075 0.0000
0.0000 0.0000 4.1713
In Zn Li
2 1 1
direct
0.5000 0.5000 0.0000
0.0000 0.0000 0.0000
0.0000 0.5000 0.5000
0.5000 0.0000 0.5000
```

symmetry: P4/mmm (123)
ΔE_f: -104.9 meV/atom



2.
A plane-wave DFT calculation with GGA-PBE was carried out for crystalline Ac2SmPuO8 at its relaxed geometry.

Geometry as POSCAR:
```
Ac2SmPuO8
1.0
-0.6213 2.3910 -3.4327
-0.3358 -5.0992 -2.6894
-7.6033 -0.1644 1.2615
Ac O Pu Sm
2 8 1 1
direct
0.5000 0.5000 0.7480
0.5000 0.5000 0.2520
0.9452 0.2219 0.7851
0.4727 0.2457 0.5000
0.4046 0.1985 0.0000
0.0548 0.7781 0.2149
0.5273 0.7543 0.5000
0.0548 0.7781 0.7852
0.5954 0.8015 0.0000
0.9452 0.2219 0.2148
0.0000 0.0000 0.0000
0.0000 0.0000 0.5000
```

energy relative to the elements, uncorrected: -2.993 eV per atom
symmetry: P2/m (10)



3.
A plane-wave DFT calculation with GGA-PBE was carried out for crystalline Ac2MgURh6 at its relaxed geometry.

Geometry as POSCAR:
```
Ac2MgURh6
1.0
8.1690 -0.0385 -1.6071
0.0281 5.8684 -0.0014
2.9336 2.9231 4.1582
Ac Mg Rh U
2 1 6 1
direct
0.1491 0.7161 0.5674
0.8509 0.2839 0.4326
0.0000 0.0000 0.0000
0.7310 0.2367 0.0162
0.7306 0.7479 0.0164
0.2690 0.7633 0.9838
0.2682 0.2522 0.4946
0.2694 0.2521 0.9836
0.7318 0.7478 0.5054
0.5000 0.5000 0.0000
```

symmetry: C2/m (12)
ΔE_f: -401.5 meV/atom